[1]
A geometry-optimized LaThPd structure. Source: Alexandria via LeMat-Bulk, functional PBE-GGA.

a = 5.2073 Å, b = 5.2072 Å, c = 6.8441 Å
α = 90.01°, β = 90.00°, γ = 90.00°
Last column: nearest neighbours and their distance in Å.
Sites, in units of the cell vectors:
La 0.8135 0.8663 0.5365  1 Pd 2.91
La 0.3135 0.3662 0.3026  1 Pd 2.91
Th 0.8136 0.3666 0.9196  4 Pd 2.92
Th 0.3136 0.8665 0.9196  4 Pd 2.92
Pd 0.8137 0.8667 0.1116  1 La 2.91, 4 Th 2.92
Pd 0.3135 0.3665 0.7277  1 La 2.91, 4 Th 2.92

Results
ΔE_f = -1.2 eV per formula unit
offset from the most stable computed form = 35 meV/atom
volume = 30.930 Å³/atom



[2]
A geometry-optimized TeRh2Br structure. Source: Alexandria via LeMat-Bulk, functional PBE-GGA.

a = 3.3327 Å, b = 3.4252 Å, c = 7.0931 Å
α = 90.19°, β = 90.00°, γ = 90.00°
Last column: nearest neighbours and their distance in Å.
Sites, in units of the cell vectors:
Te 0.5000 0.2500 0.2500  8 Rh 2.76
Rh 0.0000 0.7486 0.0549  2 Br 2.73, 4 Te 2.76, 1 Rh 2.77
Rh 0.0000 0.7514 0.4451  2 Br 2.73, 4 Te 2.76, 1 Rh 2.77
Br 0.5000 0.7500 0.7500  4 Rh 2.73

Results
offset from the most stable computed form = 172 meV/atom
raw formation energy = 65 meV/atom
volume = 20.242 Å³/atom



[3]
A geometry-optimized LaTbGaGe structure. Source: Alexandria via LeMat-Bulk, functional PBE-GGA.

a = 4.4503 Å, b = 4.0959 Å, c = 6.0518 Å
α = 90.00°, β = 111.57°, γ = 90.00°
Last column: nearest neighbours and their distance in Å.
Sites, in units of the cell vectors:
La 0.1430 0.0000 0.2860  4 Ga 3.13, 3 Ge 3.14-3.34
Tb 0.8636 0.5000 0.7272  4 Ge 3.09, 3 Ga 3.23-3.29
Ga 0.5713 0.5000 0.1426  2 Ge 2.65
Ge 0.4221 0.0000 0.8442  2 Ga 2.65

Results
ΔE_f = -3.0 eV per formula unit
offset from the most stable computed form = 0 meV/atom
volume = 25.646 Å³/atom



[4]
A geometry-optimized Al6Cu5Ni structure. Source: Alexandria via LeMat-Bulk, functional PBE-GGA.

a = 4.1060 Å, b = 6.1868 Å, c = 6.5094 Å
α = 90.00°, β = 71.62°, γ = 90.00°
Last column: nearest neighbours and their distance in Å.
Sites, in units of the cell vectors:
Ni 0.0000 0.0000 0.0000  8 Al 2.54-2.55
Al 0.8357 0.7545 0.3287  1 Ni 2.54, 7 Cu 2.55-2.59
Al 0.8357 0.2455 0.3287  1 Ni 2.54, 7 Cu 2.55-2.59
Al 0.5000 0.2449 0.0000  2 Ni 2.55, 6 Cu 2.55-2.62
Al 0.5000 0.7551 0.0000  2 Ni 2.55, 6 Cu 2.55-2.62
Al 0.1643 0.7545 0.6713  1 Ni 2.54, 7 Cu 2.55-2.59
Al 0.1643 0.2455 0.6713  1 Ni 2.54, 7 Cu 2.55-2.59
Cu 0.6688 0.5000 0.6624  8 Al 2.59-2.62, 2 Cu 2.87
Cu 0.3335 0.0000 0.3330  8 Al 2.55-2.58
Cu 0.0000 0.5000 0.0000  8 Al 2.57-2.59
Cu 0.6665 0.0000 0.6670  8 Al 2.55-2.58
Cu 0.3312 0.5000 0.3376  8 Al 2.59-2.62, 2 Cu 2.87

Results
ΔE_f = -3.0 eV per formula unit
volume = 13.077 Å³/atom



[5]
A geometry-optimized NdEr2Cu3 structure. Source: Alexandria via LeMat-Bulk, functional PBE-GGA.

a = 3.4685 Å, b = 3.4685 Å, c = 10.5393 Å
α = 90.00°, β = 90.00°, γ = 90.00°
Last column: nearest neighbours and their distance in Å.
Sites, in units of the cell vectors:
Nd 0.5000 0.5000 0.5000  8 Cu 3.13, 4 Nd 3.47
Er 0.5000 0.5000 0.8385  8 Cu 2.94-2.99
Er 0.5000 0.5000 0.1615  8 Cu 2.94-2.99
Cu 0.0000 0.0000 0.0000  8 Er 2.99, 2 Cu 3.33
Cu 0.0000 0.0000 0.6845  4 Er 2.94, 4 Nd 3.13
Cu 0.0000 0.0000 0.3155  4 Er 2.94, 4 Nd 3.13

Results
ΔE_f = -1.4 eV per formula unit
volume = 21.132 Å³/atom